The following is a PBE-GGA calculation of a geometry-optimized La3AgSn3 structure, from Alexandria via LeMat-Bulk.

Cell: 11.8401 4.8065 15.5508 Å, 90.00 109.79 90.00°
Last column: nearest neighbours and their distance in Å.
Space group C2/m (No. 12)
Asymmetric unit:
1 La 0.0362 0.0000 0.3836 (multiplicity 4)  7 Sn 3.34-3.68, 4 Ag 3.36-3.58
2 La 0.0979 0.0000 0.9221 (multiplicity 4)  7 Sn 3.27-3.58
3 La 0.2409 0.0000 0.2259 (multiplicity 4)  6 Sn 3.31-3.51, 2 Ag 3.55
4 Ag 0.2392 0.5000 0.3938 (multiplicity 4)  4 Sn 2.82-3.04
5 Sn 0.0285 0.5000 0.2329 (multiplicity 4)  1 Ag 2.87, 1 Sn 3.03
6 Sn 0.1246 0.5000 0.0753 (multiplicity 4)  2 Sn 3.03-3.08, 5 La 3.27-3.32
7 Sn 0.1341 0.5000 0.5471 (multiplicity 4)  3 Ag 2.82-3.04, 1 Sn 3.01

Computed properties:
- E_form (eV/atom) = -0.722
- total magnetic moment (Bohr magnetons per cell) = 0.00
- Fermi-level density of states (states/eV per atom) = 0.7245